Here is a relaxed structure of MnAs3F from Alexandria via LeMat-Bulk. Energies are from PBE with a Hubbard U.

Excess energy over the best structure of this formula in the dataset in eV/f.u.: 0.640
Total energy in eV per atom: -4.26

Unit cell a=4.7184 b=4.7184 c=4.7184 alpha=90.00 beta=90.00 gamma=90.00
Space group Pm-3m (No. 221)
Inequivalent atoms, fractional coordinates:
Mn 0.0000 0.0000 0.0000
As 0.0000 0.0000 0.5000
F 0.5000 0.5000 0.5000